w | # Na2SnPb8

A relaxed structure of Na2SnPb8 (PBE, Alexandria).

Values from the calculation:
calculated density: 8.25 g cm⁻³
total moment: 0.00 μB/cell

Cell: 5.9100 8.4019 8.4019 Å, 64.93 78.28 78.28°
Sites, in units of the cell vectors:
Pb  0.7879  0.2292  0.6398
Pb  0.7879  0.6398  0.2292
Pb  0.2121  0.7708  0.3602
Pb  0.9219  0.2369  0.2369
Pb  0.0781  0.7631  0.7631
Pb  0.3178  0.3679  0.3679
Pb  0.6822  0.6321  0.6321
Pb  0.2121  0.3602  0.7708
Na  0.5155  0.8727  0.8727
Na  0.4845  0.1273  0.1273
Sn  0.0000  0.0000  0.0000

x | # Na2SnPb8

A relaxed structure of Na2SnPb8 (PBE, Alexandria).

Values from the calculation:
calculated density: 9.12 g cm⁻³
total moment: 0.00 μB/cell

Cell: 4.8638 7.8805 9.3275 Å, 105.36 105.11 90.00°
Sites, in units of the cell vectors:
Pb  0.7745  0.3592  0.5490
Pb  0.0437  0.7384  0.0874
Pb  0.4088  0.5539  0.8175
Pb  0.5912  0.4461  0.1825
Pb  0.3214  0.0898  0.6429
Pb  0.2255  0.6408  0.4510
Pb  0.6786  0.9102  0.3571
Pb  0.9563  0.2616  0.9126
Na  0.8633  0.8189  0.7265
Na  0.1367  0.1811  0.2735
Sn  0.5000  0.0000  0.0000

It is x that is most stable; the runner-up trails by 109 meV per atom.

w | # NaSn2Pb5

A relaxed structure of NaSn2Pb5 (PBE, Alexandria).

Values from the calculation:
calculated density: 9.01 g cm⁻³
total moment: 0.00 μB/cell

Cell: 6.7991 6.7990 6.7991 Å, 105.97 105.97 116.72°
Sites, in units of the cell vectors:
Sn  0.2777  0.7780  0.5000
Sn  0.7778  0.2780  0.5000
Pb  0.2776  0.2773  0.0000
Pb  0.7776  0.7778  0.4996
Pb  0.2782  0.7776  0.0000
Pb  0.7778  0.2780  0.0000
Pb  0.2780  0.2782  0.5004
Na  0.7784  0.7782  0.0000

x | # NaSn2Pb5

A relaxed structure of NaSn2Pb5 (PBE, Alexandria).

Values from the calculation:
calculated density: 8.83 g cm⁻³
total moment: 0.00 μB/cell

Cell: 8.5749 8.5749 8.9832 Å, 118.51 118.51 90.00°
Sites, in units of the cell vectors:
Pb  0.5000  0.5000  0.0000
Pb  0.0000  0.0000  0.0000
Pb  0.8067  0.0152  0.3219
Pb  0.9848  0.4848  0.6781
Pb  0.0152  0.5152  0.3219
Pb  0.6933  0.1933  0.6781
Pb  0.3067  0.8067  0.3219
Pb  0.5152  0.3067  0.3219
Pb  0.1933  0.9848  0.6781
Pb  0.4848  0.6933  0.6781
Na  0.7500  0.7500  0.5000
Na  0.2500  0.2500  0.5000
Sn  0.3595  0.8595  0.0000
Sn  0.1405  0.3595  0.0000
Sn  0.8595  0.6405  0.0000
Sn  0.6405  0.1405  0.0000

It is w that is most stable; the runner-up trails by 19 meV per atom.

w | # Na6Sn2Pb

A relaxed structure of Na6Sn2Pb (PBE, Alexandria).

Values from the calculation:
calculated density: 3.95 g cm⁻³
total moment: 0.00 μB/cell

Cell: 6.2864 6.2836 6.2836 Å, 95.24 95.21 95.21°
Sites, in units of the cell vectors:
Pb  0.0000  0.0000  0.0000
Na  0.5000  0.1673  0.8327
Na  0.8330  0.5000  0.1672
Na  0.5000  0.8327  0.1673
Na  0.1670  0.5000  0.8328
Na  0.8330  0.1672  0.5000
Na  0.1670  0.8328  0.5000
Sn  0.3374  0.3375  0.3375
Sn  0.6626  0.6625  0.6625

x | # Na6Sn2Pb

A relaxed structure of Na6Sn2Pb (PBE, Alexandria).

Values from the calculation:
calculated density: 3.47 g cm⁻³
total moment: 0.00 μB/cell

Cell: 5.4764 5.4764 11.1816 Å, 75.82 75.82 60.00°
Sites, in units of the cell vectors:
Na  0.8057  0.8057  0.5828
Na  0.5810  0.5810  0.2570
Na  0.1943  0.1943  0.4172
Na  0.4190  0.4190  0.7430
Na  0.7036  0.7036  0.8892
Na  0.2964  0.2964  0.1108
Sn  0.9069  0.9069  0.2792
Sn  0.0931  0.0931  0.7208
Pb  0.0000  0.0000  0.0000

It is w that is most stable; the runner-up trails by 20 meV per atom.

w | # NaSn6Pb

A relaxed structure of NaSn6Pb (PBE, Alexandria).

Values from the calculation:
calculated density: 6.94 g cm⁻³
total moment: 0.00 μB/cell

Cell: 5.4890 6.8517 6.8517 Å, 118.94 90.00 90.00°
Sites, in units of the cell vectors:
Sn  0.5000  0.8803  0.5746
Sn  0.5000  0.9332  0.0668
Sn  0.0000  0.0629  0.3822
Sn  0.5000  0.4254  0.1197
Sn  0.0000  0.6178  0.9371
Sn  0.0000  0.5976  0.4024
Na  0.0000  0.1044  0.8956
Pb  0.5000  0.3780  0.6220

x | # NaSn6Pb

A relaxed structure of NaSn6Pb (PBE, Alexandria).

Values from the calculation:
calculated density: 7.01 g cm⁻³
total moment: 0.00 μB/cell

Cell: 6.3772 6.3755 6.3453 Å, 90.04 90.07 59.99°
Sites, in units of the cell vectors:
Sn  0.5001  0.5001  0.2472
Sn  0.4999  0.4999  0.7528
Sn  0.0002  0.4999  0.2472
Sn  0.5000  0.0000  0.2470
Sn  0.9998  0.5001  0.7528
Sn  0.5000  0.0000  0.7530
Na  0.0000  0.0000  0.0000
Pb  0.0000  0.0000  0.5000

It is x that is most stable; the runner-up trails by 45 meV per atom.

w | # Na3SnPb3

A relaxed structure of Na3SnPb3 (PBE, Alexandria).

Values from the calculation:
calculated density: 6.44 g cm⁻³
total moment: 0.00 μB/cell

Cell: 7.7974 7.7974 7.7974 Å, 72.12 72.12 72.12°
Sites, in units of the cell vectors:
Na  0.9605  0.6654  0.1152
Na  0.1152  0.9605  0.6654
Na  0.6654  0.1152  0.9605
Na  0.8848  0.0395  0.3346
Na  0.3346  0.8848  0.0395
Na  0.0395  0.3346  0.8848
Pb  0.1828  0.6148  0.4541
Pb  0.8172  0.3852  0.5459
Pb  0.4541  0.1828  0.6148
Pb  0.3852  0.5459  0.8172
Pb  0.6148  0.4541  0.1828
Pb  0.5459  0.8172  0.3852
Sn  0.7371  0.7371  0.7371
Sn  0.2629  0.2629  0.2629

x | # Na3SnPb3

A relaxed structure of Na3SnPb3 (PBE, Alexandria).

Values from the calculation:
calculated density: 6.65 g cm⁻³
total moment: 0.00 μB/cell

Cell: 5.5039 9.2094 9.2101 Å, 119.99 90.00 90.00°
Sites, in units of the cell vectors:
Na  0.2500  0.1000  0.4852
Na  0.2500  0.3850  0.8999
Na  0.7500  0.4853  0.3852
Na  0.7500  0.6150  0.1001
Na  0.7500  0.9000  0.5148
Na  0.2500  0.5147  0.6148
Pb  0.7500  0.0755  0.2560
Pb  0.7500  0.1802  0.9249
Pb  0.2500  0.9245  0.7440
Pb  0.2500  0.8198  0.0751
Pb  0.7500  0.7439  0.8193
Pb  0.2500  0.2561  0.1807
Sn  0.7500  0.3333  0.6668
Sn  0.2500  0.6667  0.3332

It is x that is most stable; the runner-up trails by 31 meV per atom.

w | # NaSn4Pb5

A relaxed structure of NaSn4Pb5 (PBE, Alexandria).

Values from the calculation:
calculated density: 7.82 g cm⁻³
total moment: 0.00 μB/cell

Cell: 5.4466 7.0842 11.4897 Å, 129.44 103.71 90.00°
Sites, in units of the cell vectors:
Sn  0.9898  0.7383  0.9795
Sn  0.6704  0.0826  0.3407
Sn  0.0102  0.2617  0.0205
Sn  0.3296  0.9174  0.6593
Pb  0.1693  0.3303  0.3386
Pb  0.5000  0.5000  0.0000
Pb  0.1699  0.8283  0.3397
Pb  0.8307  0.6697  0.6614
Pb  0.8301  0.1717  0.6603
Na  0.5000  0.0000  0.0000

x | # NaSn4Pb5

A relaxed structure of NaSn4Pb5 (PBE, Alexandria).

Values from the calculation:
calculated density: 8.56 g cm⁻³
total moment: 0.00 μB/cell

Cell: 4.1535 4.1535 17.2552 Å, 90.00 90.00 90.00°
Sites, in units of the cell vectors:
Pb  0.5000  0.5000  0.2997
Pb  0.5000  0.5000  0.8958
Pb  0.5000  0.5000  0.7003
Pb  0.5000  0.5000  0.5000
Pb  0.5000  0.5000  0.1042
Sn  0.0000  0.0000  0.7996
Sn  0.0000  0.0000  0.5996
Sn  0.0000  0.0000  0.2004
Sn  0.0000  0.0000  0.4004
Na  0.0000  0.0000  0.0000

It is x that is most stable; the runner-up trails by 37 meV per atom.

w | # NaSn3Pb6

A relaxed structure of NaSn3Pb6 (PBE, Alexandria).

Values from the calculation:
calculated density: 6.74 g cm⁻³
total moment: 0.00 μB/cell

Cell: 3.4385 11.6403 11.6403 Å, 119.04 95.65 95.65°
Sites, in units of the cell vectors:
Pb  0.4404  0.2638  0.0000
Pb  0.5983  0.0000  0.7253
Pb  0.1766  0.7362  0.7362
Pb  0.5983  0.7253  0.0000
Pb  0.4404  0.0000  0.2638
Pb  0.8730  0.2747  0.2747
Sn  0.5259  0.5053  0.5053
Sn  0.0205  0.4947  0.0000
Sn  0.0205  0.0000  0.4947
Na  0.9671  0.0000  0.0000

x | # NaSn3Pb6

A relaxed structure of NaSn3Pb6 (PBE, Alexandria).

Values from the calculation:
calculated density: 8.42 g cm⁻³
total moment: 0.00 μB/cell

Cell: 8.4971 9.0178 9.0178 Å, 112.10 90.00 90.00°
Sites, in units of the cell vectors:
Pb  0.8158  0.0729  0.9271
Pb  0.7925  0.9127  0.5259
Pb  0.6144  0.6867  0.8019
Pb  0.2925  0.0873  0.4741
Pb  0.1144  0.3133  0.1981
Pb  0.1144  0.8019  0.6867
Pb  0.6144  0.1981  0.3133
Pb  0.1151  0.7060  0.2940
Pb  0.3158  0.9271  0.0729
Pb  0.7925  0.4741  0.0873
Pb  0.2925  0.5259  0.9127
Pb  0.6151  0.2940  0.7060
Sn  0.3310  0.4675  0.5325
Sn  0.9557  0.7301  0.9696
Sn  0.4557  0.9696  0.7301
Sn  0.9557  0.0304  0.2699
Sn  0.8310  0.5325  0.4675
Sn  0.4557  0.2699  0.0304
Na  0.9981  0.3239  0.6761
Na  0.4981  0.6761  0.3239

It is x that is most stable; the runner-up trails by 209 meV per atom.

w | # Na8SnPb2

A relaxed structure of Na8SnPb2 (PBE, Alexandria).

Values from the calculation:
calculated density: 3.48 g cm⁻³
total moment: 0.00 μB/cell

Cell: 5.2794 8.1759 8.1759 Å, 104.24 90.00 90.00°
Sites, in units of the cell vectors:
Na  0.9996  0.9618  0.7056
Na  0.5000  0.7546  0.2454
Na  0.9996  0.7056  0.9618
Na  0.5000  0.2454  0.7546
Na  0.0004  0.2944  0.0382
Na  0.4997  0.6717  0.6717
Na  0.0004  0.0382  0.2944
Na  0.5003  0.3283  0.3283
Pb  0.0000  0.6172  0.3828
Pb  0.0000  0.3828  0.6172
Sn  0.5000  0.0000  0.0000

x | # Na8SnPb2

A relaxed structure of Na8SnPb2 (PBE, Alexandria).

Values from the calculation:
calculated density: 3.48 g cm⁻³
total moment: 0.00 μB/cell

Cell: 5.6959 7.9602 8.8766 Å, 112.75 103.58 101.07°
Sites, in units of the cell vectors:
Pb  0.3127  0.3127  0.6253
Pb  0.6873  0.6873  0.3747
Na  0.7107  0.2107  0.4213
Na  0.6865  0.3877  0.0000
Na  0.2893  0.7893  0.5787
Na  0.1819  0.3199  0.2327
Na  0.3135  0.6123  0.0000
Na  0.9492  0.0871  0.7673
Na  0.0508  0.9129  0.2327
Na  0.8181  0.6801  0.7673
Sn  0.5000  0.0000  0.0000

It is w that is most stable; the runner-up trails by 91 meV per atom.